# 1
Here is a relaxed La2CoPb crystal from the Alexandria database. Energies are from PBE.

Total moment   1.06 μB per formula unit
Formation enthalpy at 0 K   16 kJ/mol of formula units
ρ   8.3 g/cm3
Crystal system   tetragonal

a b c (Å): 3.473 3.473 9.032
angles (deg): 90.00 90.00 89.99
Last column: magnetic moment on the atom in μB.
Fractional positions:
1 Pb 0.000 0.000 0.559  -0.01
2 La 0.500 0.500 0.288  0.05
3 La 0.000 0.000 0.925  -0.06
4 Co 0.500 0.500 0.727  1.07



# 2
Here is a relaxed La2CoPb crystal from the Alexandria database. Energies are from PBE.

Total moment   0.00 μB per formula unit
Formation enthalpy at 0 K   -44 kJ/mol of formula units
ρ   8.5 g/cm3
Crystal system   trigonal

a b c (Å): 6.100 6.100 6.100
angles (deg): 45.69 45.69 45.69
Fractional positions:
1 La 0.226 0.226 0.226
2 La 0.014 0.014 0.014
3 Pb 0.451 0.451 0.451
4 Co 0.809 0.809 0.809



# 3
Here is a relaxed La2CoPb crystal from the Alexandria database. Energies are from PBE.

Total moment   0.00 μB per formula unit
Formation enthalpy at 0 K   -87 kJ/mol of formula units
ρ   7.7 g/cm3
Crystal system   monoclinic

a b c (Å): 3.923 3.923 9.123
angles (deg): 77.75 77.75 59.66
Fractional positions:
1 Pb 0.750 0.750 0.750
2 Co 0.250 0.250 0.250
3 La 0.521 0.521 0.434
4 La 0.979 0.979 0.066